# LaSc2Os2, optimized geometry, DFT PBE-GGA
data_LaSc2Os2
_chemical_formula_sum 'La2 Sc4 Os4'
_space_group_name_H-M_alt 'I 4/m m m'
_space_group_IT_number 139
_space_group_name_Hall '-I 4 2'
_cell_length_a 4.729
_cell_length_b 4.729
_cell_length_c 10.136
_cell_angle_alpha 90.00
_cell_angle_beta 90.00
_cell_angle_gamma 90.00
loop_
_atom_site_label
_atom_site_fract_x
_atom_site_fract_y
_atom_site_fract_z
La1 0.000 0.000 0.000
Sc1 0.000 0.000 0.353
Os1 0.000 0.500 0.250
# Total DFT energy (no corrections) (eV per formula unit): -39.44
# Relative energy among the computed polymorphs (meV per atom): 299.7
# Calculated formation energy (eV/atom): 0.121